Record 1
Sc2SbPd6 after structural relaxation. Source: the Alexandria database, functional GGA-PBE.

Summary:
spin magnetization	0.0	μB per formula unit
E_tot	-5.91	eV per atom
calculated volume	18.05	A^3/atom
E_form (uncorrected)	-0.58	eV per atom

Cell and atoms, written as CIF:
```
data_Sc2SbPd6
_cell_length_a 7.284
_cell_length_b 14.128
_cell_length_c 3.157
_cell_angle_alpha 90.00
_cell_angle_beta 90.00
_cell_angle_gamma 90.00
_symmetry_space_group_name_H-M 'C m m m'
_symmetry_Int_Tables_number 65
_symmetry_space_group_name_Hall '-C 2 2'
loop_
_atom_site_label
_atom_site_type_symbol
_atom_site_fract_x
_atom_site_fract_y
_atom_site_fract_z
_atom_site_occupancy
Sc1 Sc 0.000 0.194 0.000 1
Sb1 Sb 0.000 0.500 0.500 1
Pd1 Pd 0.186 0.000 0.000 1
Pd2 Pd 0.198 0.340 0.500 1
```

---

Record 2
Sc3SbPd12 after structural relaxation. Source: the Alexandria database, functional GGA-PBE.

Summary:
spin magnetization	0.0	μB per formula unit
E_tot	-6.08	eV per atom
calculated volume	16.23	A^3/atom
E_form (uncorrected)	-0.74	eV per atom

Cell and atoms, written as CIF:
```
data_Sc3SbPd12
_cell_length_a 4.022
_cell_length_b 4.022
_cell_length_c 16.053
_cell_angle_alpha 90.00
_cell_angle_beta 90.00
_cell_angle_gamma 90.00
_symmetry_space_group_name_H-M 'P 4/m m m'
_symmetry_Int_Tables_number 123
_symmetry_space_group_name_Hall '-P 4 2'
loop_
_atom_site_label
_atom_site_type_symbol
_atom_site_fract_x
_atom_site_fract_y
_atom_site_fract_z
_atom_site_occupancy
Sc1 Sc 0.000 0.000 0.000 1
Sc2 Sc 0.000 0.000 0.245 1
Sb1 Sb 0.000 0.000 0.500 1
Pd1 Pd 0.000 0.500 0.125 1
Pd2 Pd 0.000 0.500 0.374 1
Pd3 Pd 0.500 0.500 0.000 1
Pd4 Pd 0.500 0.500 0.251 1
Pd5 Pd 0.500 0.500 0.500 1
```